# AcVPO6 PBE+U optimized geometry
# DOS at the Fermi energy   0.00 states/eV/atom
# Magnetization   1.0 μB/cell
# Density   5.928 g cm⁻³
# Volume   113.4 Å³/cell
# Energy   -69.12 eV/cell
data_AcVPO6
_cell_length_a 4.9708
_cell_length_b 4.9708
_cell_length_c 5.3008
_cell_angle_alpha 90.00
_cell_angle_beta 90.00
_cell_angle_gamma 120.00
_space_group_name_H-M_alt 'P 3 1 2'
_space_group_IT_number 149
loop_
_space_group_symop_operation_xyz
'x,y,z'
'-y,x-y,z'
'-x+y,-x,z'
'-y,-x,-z'
'-x+y,y,-z'
'x,x-y,-z'
loop_
_atom_site_label
_atom_site_fract_x
_atom_site_fract_y
_atom_site_fract_z
Ac1 0.0000 0.0000 0.0000
V1 0.3333 0.6667 0.5000
P1 0.6667 0.3333 0.5000
O1 0.4048 0.0326 0.6907